{
  "formula": "VCl3F",
  "functional": "PBE with a Hubbard U",
  "state": "optimized geometry",
  "polymorph_energy_mev_per_atom": 9,
  "sg": "P2/c, No. 13",
  "lattice": [[8.8878, 0.0000, 0.0000], [0.0000, 8.9800, 0.0000], [-4.8107, 0.0000, 9.3868]],
  "species": ["V", "V", "V", "V", "Cl", "Cl", "Cl", "Cl", "Cl", "Cl", "Cl", "Cl", "Cl", "Cl", "Cl", "Cl", "F", "F", "F", "F"],
  "fractional_positions": [[0.0903, 0.1385, 0.4234], [0.0903, 0.8615, 0.9234], [0.9097, 0.1385, 0.0766], [0.9097, 0.8615, 0.5766], [0.0232, 0.1440, 0.9192], [0.0232, 0.8560, 0.4192], [0.1202, 0.3817, 0.4330], [0.1202, 0.6183, 0.9330], [0.3510, 0.0744, 0.5590], [0.3510, 0.9256, 0.0590], [0.6490, 0.0744, 0.9410], [0.6490, 0.9256, 0.4410], [0.8798, 0.3817, 0.0670], [0.8798, 0.6183, 0.5670], [0.9768, 0.1440, 0.5808], [0.9768, 0.8560, 0.0808], [0.1298, 0.1305, 0.2437], [0.1298, 0.8695, 0.7437], [0.8702, 0.1305, 0.2563], [0.8702, 0.8695, 0.7563]]
}